{
  "formula": "Th4Bi2CS",
  "functional": "GGA-PBE",
  "state": "relaxed",
  "e_form_raw_ev_per_atom": -0.8194,
  "sg": "P2/m, No. 10",
  "crystal_system": "monoclinic",
  "e_tot_ev_per_atom": -7.168,
  "dos_ef_per_ev_cell": 1.858,
  "lattice": [[4.130, 0.000, 0.000], [0.000, 7.224, 0.149], [0.000, -2.510, 7.259]],
  "species": ["Th", "Th", "Th", "Th", "Bi", "Bi", "C", "S"],
  "frac_coords": [[0.500, 0.253, 0.197], [0.500, 0.747, 0.803], [0.000, 0.286, 0.809], [0.000, 0.714, 0.191], [0.500, 0.000, 0.500], [0.000, 0.500, 0.500], [0.500, 0.500, 0.000], [0.000, 0.000, 0.000]]
}